Here is a relaxed structure of Pm2MgTl4 from the Alexandria database. Energies are from GGA-PBE.

Geometry as CIF:
```
data_Pm2MgTl4
_chemical_formula_sum 'Pm2 Mg1 Tl4'
_symmetry_space_group_name_H-M 'P 1'
_symmetry_Int_Tables_number 1
_cell_length_a 5.703
_cell_length_b 5.703
_cell_length_c 7.756
_cell_angle_alpha 111.47
_cell_angle_beta 111.57
_cell_angle_gamma 90.00
loop_
_symmetry_equiv_pos_as_xyz
'x,y,z'
loop_
_atom_site_label
_atom_site_fract_x
_atom_site_fract_y
_atom_site_fract_z
Pm1 0.639 0.639 0.278
Pm2 0.361 0.361 0.722
Mg1 0.000 0.000 0.000
Tl1 0.750 0.250 0.500
Tl2 0.250 0.750 0.500
Tl3 0.500 0.000 0.000
Tl4 0.000 0.500 0.000
```

E_form ... -0.0605 eV/atom